#i
VASP calculation (PBE) on crystalline TcRuSeN2 at its relaxed geometry.

Values from the calculation:
crystal system = tetragonal
calculated volume = 78 Å³ per cell

Geometry as POSCAR:
```
TcRuSeN2
1.0
-1.8533 1.7910 2.7033
-2.7854 -4.6802 1.1913
2.6521 -0.9546 2.4506
Ru Tc Se N
1 1 1 2
Direct
0.0000 0.5000 0.0000
0.0000 0.0000 0.0000
0.5000 0.5000 0.5000
0.0000 0.0000 0.5000
0.5000 0.0000 0.0000
```

---

#ii
VASP calculation (PBE) on crystalline TcRuSeN2 at its relaxed geometry.

Values from the calculation:
crystal system = tetragonal
calculated volume = 78 Å³ per cell

Geometry as POSCAR:
```
TcRuSeN2
1.0
-0.1573 3.3705 -1.7352
-3.6518 0.3315 0.9750
1.4544 2.4445 4.6164
Ru Tc Se N
1 1 1 2
Direct
0.0000 0.0000 0.0000
0.5000 0.5000 0.5000
0.0000 0.0000 0.5000
0.0000 0.5000 0.0000
0.5000 0.0000 0.0000
```

---

Computed energies relative to the best structure, in eV/atom: #i 0.000; #ii 0.252

---

#i
VASP calculation (PBE) on crystalline TeRuSe2N at its relaxed geometry.

Values from the calculation:
crystal system = tetragonal
calculated volume = 112 Å³ per cell

Geometry as POSCAR:
```
TeRuSe2N
1.0
-3.8836 -3.2091 -1.8897
1.9948 0.5130 -4.9709
2.2621 -3.0847 0.5894
Ru Te Se N
1 1 2 1
Direct
0.5000 0.5000 0.5000
0.0000 0.0000 0.0000
0.0000 0.5000 0.0000
0.5000 0.0000 0.0000
0.0000 0.0000 0.5000
```

---

#ii
VASP calculation (PBE) on crystalline TeRuSe2N at its relaxed geometry.

Values from the calculation:
crystal system = tetragonal
calculated volume = 148 Å³ per cell

Geometry as POSCAR:
```
TeRuSe2N
1.0
5.4613 0.0000 0.0000
0.0000 4.9755 0.0000
0.0000 0.0000 5.4613
Ru Te Se N
1 1 2 1
Direct
0.0000 0.5000 0.0000
0.0000 0.0000 0.0000
0.0000 0.0000 0.5000
0.5000 0.0000 0.0000
0.5000 0.5000 0.5000
```

---

#iii
VASP calculation (PBE) on crystalline TeRuSe2N at its relaxed geometry.

Values from the calculation:
crystal system = tetragonal
calculated volume = 97 Å³ per cell

Geometry as POSCAR:
```
TeRuSe2N
1.0
5.1219 0.0000 0.0000
0.0000 5.1219 0.0000
0.0000 0.0000 3.7097
Ru Te Se N
1 1 2 1
Direct
0.0000 0.0000 0.0000
0.5000 0.5000 0.5000
0.0000 0.5000 0.0000
0.5000 0.0000 0.0000
0.0000 0.0000 0.5000
```

---

Computed energies relative to the best structure, in eV/atom: #i 1.147; #ii 1.652; #iii 0.000

---

#i
VASP calculation (PBE) on crystalline TeRuSeN2 at its relaxed geometry.

Values from the calculation:
crystal system = tetragonal
calculated volume = 88 Å³ per cell

Geometry as POSCAR:
```
TeRuSeN2
1.0
-1.6829 -1.4549 -3.1456
3.3574 0.1832 -1.8810
1.3205 -5.4714 1.8242
Ru Te Se N
1 1 1 2
Direct
0.0000 0.0000 0.0000
0.0000 0.0000 0.5000
0.5000 0.5000 0.5000
0.0000 0.5000 0.0000
0.5000 0.0000 0.0000
```

---

#ii
VASP calculation (PBE) on crystalline TeRuSeN2 at its relaxed geometry.

Values from the calculation:
crystal system = tetragonal
calculated volume = 84 Å³ per cell

Geometry as POSCAR:
```
TeRuSeN2
1.0
-3.4083 0.5595 1.8183
0.4960 -3.3402 1.9576
2.5884 2.7347 4.0103
Ru Te Se N
1 1 1 2
Direct
0.0000 0.0000 0.0000
0.5000 0.5000 0.5000
0.0000 0.0000 0.5000
0.0000 0.5000 0.0000
0.5000 0.0000 0.0000
```

---

#iii
VASP calculation (PBE) on crystalline TeRuSeN2 at its relaxed geometry.

Values from the calculation:
crystal system = tetragonal
calculated volume = 101 Å³ per cell

Geometry as POSCAR:
```
TeRuSeN2
1.0
-2.6318 -2.6531 -0.0702
1.6598 -1.7225 2.8720
-3.9907 3.8367 4.6074
Ru Te Se N
1 1 1 2
Direct
0.5000 0.5000 0.5000
0.0000 0.0000 0.5000
0.0000 0.0000 0.0000
0.0000 0.5000 0.0000
0.5000 0.0000 0.0000
```

---

Computed energies relative to the best structure, in eV/atom: #i 0.000; #ii 0.104; #iii 1.041

---

#i
VASP calculation (PBE) on crystalline Te2RuSeN at its relaxed geometry.

Values from the calculation:
crystal system = tetragonal
calculated volume = 105 Å³ per cell

Geometry as POSCAR:
```
Te2RuSeN
1.0
-1.2376 2.5987 -4.5954
-4.6326 1.7291 2.2254
1.6605 2.9079 1.1972
Ru Te Se N
1 2 1 1
Direct
0.5000 0.5000 0.5000
0.0000 0.5000 0.0000
0.5000 0.0000 0.0000
0.0000 0.0000 0.0000
0.0000 0.0000 0.5000
```

---

#ii
VASP calculation (PBE) on crystalline Te2RuSeN at its relaxed geometry.

Values from the calculation:
crystal system = tetragonal
calculated volume = 108 Å³ per cell

Geometry as POSCAR:
```
Te2RuSeN
1.0
5.4311 0.0000 0.0000
0.0000 5.4311 0.0000
0.0000 0.0000 3.6636
Ru Te Se N
1 2 1 1
Direct
0.0000 0.0000 0.0000
0.0000 0.5000 0.0000
0.5000 0.0000 0.0000
0.5000 0.5000 0.5000
0.0000 0.0000 0.5000
```

---

Computed energies relative to the best structure, in eV/atom: #i 0.981; #ii 0.000